Compound: YTa2Pb2
Source: Alexandria
Functional: PBE-GGA
Structure: optimized geometry

Summary:
- Polymorph energy (0 for the lowest one): 0.194 eV/atom
- ΔH_f (0 K): 607 meV per atom
- M_tot: 0.00 μB/cell

Lattice parameters (Å, degrees): 4.827 4.827 6.636 68.67 68.67 90.00
Sites, in units of the cell vectors:
Pb 0.750 0.250 0.500
Pb 0.250 0.750 0.500
Y 0.000 0.000 0.000
Ta 0.604 0.604 0.792
Ta 0.396 0.396 0.208